Record 1
{"formula": "Pm3Al2Pt4", "functional": "PBE", "state": "optimized geometry", "cell": [[4.353, 0.000, 0.000], [-2.176, 5.515, -0.465], [0.000, -2.902, 8.227]], "species": ["Pm", "Pm", "Pm", "Al", "Al", "Pt", "Pt", "Pt", "Pt"], "fractional_positions": [[0.632, 0.264, 0.697], [0.000, 0.000, 0.000], [0.368, 0.736, 0.303], [0.672, 0.343, 0.342], [0.328, 0.657, 0.658], [0.713, 0.427, 0.077], [0.287, 0.573, 0.923], [0.910, 0.820, 0.586], [0.090, 0.180, 0.414]], "vol_a3_per_atom": 21.29, "formation_energy_mev_per_atom": -1113, "dos_at_fermi_per_ev_cell": 6.09, "sg": "No. 12"}

Record 2
{"formula": "PmAl3Pt2", "functional": "PBE", "state": "optimized geometry", "cell": [[4.197, 0.000, 0.000], [-2.099, 7.914, -2.571], [0.000, 0.040, 10.092]], "species": ["Pm", "Pm", "Pm", "Al", "Al", "Al", "Al", "Al", "Al", "Al", "Al", "Al", "Pt", "Pt", "Pt", "Pt", "Pt", "Pt"], "fractional_positions": [[0.157, 0.314, 0.706], [0.843, 0.686, 0.294], [0.000, 0.000, 0.000], [0.043, 0.086, 0.356], [0.957, 0.914, 0.644], [0.215, 0.430, 0.391], [0.785, 0.570, 0.609], [0.630, 0.259, 0.201], [0.370, 0.741, 0.799], [0.500, 0.000, 0.500], [0.326, 0.653, 0.036], [0.674, 0.347, 0.964], [0.197, 0.394, 0.128], [0.803, 0.606, 0.872], [0.475, 0.950, 0.221], [0.525, 0.050, 0.779], [0.360, 0.721, 0.549], [0.640, 0.279, 0.451]], "vol_a3_per_atom": 18.65, "formation_energy_mev_per_atom": -1033, "polymorph_energy_kj_per_mol_atoms": 0.0, "dos_at_fermi_per_ev_cell": 8.47, "sg": "No. 12"}

Record 3
{"formula": "Pm8AlPt2", "functional": "PBE", "state": "optimized geometry", "cell": [[5.503, 0.115, -0.885], [-1.835, 7.312, -3.166], [0.145, -0.168, 8.173]], "species": ["Pm", "Pm", "Pm", "Pm", "Pm", "Pm", "Pm", "Pm", "Al", "Pt", "Pt"], "fractional_positions": [[0.572, 0.327, 0.080], [0.572, 0.080, 0.327], [0.187, 0.387, 0.387], [0.000, 0.246, 0.761], [0.000, 0.761, 0.246], [0.813, 0.619, 0.619], [0.428, 0.926, 0.680], [0.428, 0.680, 0.926], [0.000, 0.003, 0.003], [0.500, 0.696, 0.310], [0.500, 0.310, 0.696]], "vol_a3_per_atom": 29.84, "formation_energy_mev_per_atom": -404, "dos_at_fermi_per_ev_cell": 14.70, "sg": "No. 12"}

Record 4
{"formula": "Pm2AlPt7", "functional": "PBE", "state": "optimized geometry", "cell": [[-3.037, 1.477, -2.054], [0.595, -2.701, -2.823], [-7.785, -7.847, 5.866]], "species": ["Pm", "Pm", "Al", "Pt", "Pt", "Pt", "Pt", "Pt", "Pt", "Pt"], "fractional_positions": [[0.500, 0.000, 0.734], [0.000, 0.500, 0.266], [0.500, 0.500, 0.000], [0.000, 0.500, 0.858], [0.500, 0.000, 0.348], [0.500, 0.000, 0.142], [0.000, 0.500, 0.652], [0.000, 0.000, 0.500], [0.000, 0.000, 0.000], [0.500, 0.500, 0.500]], "vol_a3_per_atom": 19.55, "formation_energy_mev_per_atom": -774, "dos_at_fermi_per_ev_cell": 8.01, "sg": "No. 115"}

Record 5
{"formula": "PmAl2Pt", "functional": "PBE", "state": "optimized geometry", "cell": [[4.256, 0.000, 0.000], [2.128, 3.686, 0.000], [2.128, 1.229, 5.287]], "species": ["Al", "Al", "Pt", "Pm"], "fractional_positions": [[0.791, 0.791, 0.628], [0.209, 0.209, 0.372], [0.500, 0.500, 0.500], [0.000, 0.000, 0.000]], "vol_a3_per_atom": 20.73, "formation_energy_mev_per_atom": -868, "polymorph_energy_kj_per_mol_atoms": 9.1, "dos_at_fermi_per_ev_cell": 2.40, "sg": "No. 166"}

Record 6
{"formula": "PmAl2Pt4", "functional": "PBE", "state": "optimized geometry", "cell": [[-0.800, -3.816, 1.626], [6.846, -0.692, 1.744], [-3.075, 6.964, 14.837]], "species": ["Al", "Al", "Al", "Al", "Al", "Al", "Al", "Al", "Pt", "Pt", "Pt", "Pt", "Pt", "Pt", "Pt", "Pt", "Pt", "Pt", "Pt", "Pt", "Pt", "Pt", "Pt", "Pt", "Pm", "Pm", "Pm", "Pm"], "fractional_positions": [[0.250, 0.748, 0.525], [0.750, 0.252, 0.475], [0.750, 0.248, 0.975], [0.250, 0.752, 0.025], [0.250, 0.901, 0.806], [0.750, 0.099, 0.194], [0.750, 0.401, 0.694], [0.250, 0.599, 0.306], [0.250, 0.198, 0.713], [0.750, 0.802, 0.287], [0.750, 0.698, 0.787], [0.250, 0.302, 0.213], [0.250, 0.614, 0.673], [0.750, 0.386, 0.327], [0.750, 0.114, 0.827], [0.250, 0.886, 0.173], [0.250, 0.107, 0.541], [0.750, 0.893, 0.459], [0.750, 0.607, 0.959], [0.250, 0.393, 0.041], [0.250, 0.449, 0.444], [0.750, 0.551, 0.556], [0.750, 0.949, 0.056], [0.250, 0.051, 0.944], [0.750, 0.945, 0.647], [0.250, 0.055, 0.353], [0.250, 0.445, 0.853], [0.750, 0.555, 0.147]], "vol_a3_per_atom": 17.86, "formation_energy_mev_per_atom": -977, "polymorph_energy_kj_per_mol_atoms": 1.4, "dos_at_fermi_per_ev_cell": 11.93, "sg": "No. 62"}